A relaxed structure of SrPrNi. Source: Alexandria via LeMat-Bulk, functional GGA-PBE.

CIF file:
```
data_SrPrNi
_space_group_name_H-M_alt 'P 1 21/m 1'
_space_group_IT_number 11
_cell_length_a 3.980
_cell_length_b 4.161
_cell_length_c 11.871
_cell_angle_alpha 90.00
_cell_angle_beta 99.62
_cell_angle_gamma 90.00
loop_
_space_group_symop_operation_xyz
'x,y,z'
'-x,-y,-z'
'-x,y+1/2,-z'
'x,-y+1/2,z'
loop_
_atom_site_label
_atom_site_fract_x
_atom_site_fract_y
_atom_site_fract_z
Sr1 0.180 0.250 0.363
Pr1 0.438 0.250 0.874
Ni1 0.032 0.250 0.065
```

## Properties
energy above the most stable polymorph in this dataset	0.000	eV/atom
E_form	-0.165	eV per atom
Fermi-level density of states	5.23	states/eV per cell
total moment	0.000	μB per atom
E	-4.25	eV/atom

A relaxed structure of SrPrNi2. Source: Alexandria via LeMat-Bulk, functional GGA-PBE.

CIF file:
```
data_SrPrNi2
_space_group_name_H-M_alt 'P 4/m m m'
_space_group_IT_number 123
_space_group_name_Hall '-P 4 2'
_cell_length_a 3.593
_cell_length_b 3.593
_cell_length_c 7.164
_cell_angle_alpha 90.00
_cell_angle_beta 90.00
_cell_angle_gamma 90.00
loop_
_atom_site_label
_atom_site_fract_x
_atom_site_fract_y
_atom_site_fract_z
Sr1 0.000 0.000 0.000
Pr1 0.000 0.000 0.500
Ni1 0.500 0.500 0.297
```

## Properties
E_form	-0.077	eV per atom
Fermi-level density of states	1.71	states/eV per cell
total moment	0.000	μB per atom
E	-4.58	eV/atom